Record 1
Ce3NiB2Pt9: optimized geometry, PBE. Values from VASP.

Quantum ESPRESSO input file:
```
&SYSTEM
  ibrav = 0, nat = 15, ntyp = 4
/
ATOMIC_SPECIES
Ce 140.12 Ce.upf
Ni 58.69 Ni.upf
B 10.81 B.upf
Pt 195.08 Pt.upf
ATOMIC_POSITIONS angstrom
Ce 2.373 -4.570 4.029
Ce 0.000 0.000 0.000
Ce -0.345 -2.010 4.603
Ni 2.825 -1.204 3.590
B -0.144 -3.497 0.829
B 2.173 -3.083 7.803
Pt 0.570 -1.690 7.809
Pt 0.882 -4.338 6.676
Pt 2.719 -2.222 5.940
Pt -0.691 -4.358 2.692
Pt 1.146 -2.242 1.956
Pt 1.458 -4.891 0.822
Pt -2.118 0.525 1.843
Pt 0.307 -2.611 -1.117
Pt -1.811 -2.086 0.726
CELL_PARAMETERS angstrom
-4.237 1.049 3.686
0.615 -5.222 -2.235
5.651 -2.407 7.180
```

**Total magnetic moment**: 1.80 Bohr magnetons per cell
**Energy of formation from the pure elements**: -0.72 eV/atom
**VASP energy**: -102.11 eV for the cell shown



Record 2
CeNiB2Rh5: optimized geometry, PBE. Values from VASP.

Quantum ESPRESSO input file:
```
&SYSTEM
  ibrav = 0, nat = 9, ntyp = 4
/
ATOMIC_SPECIES
Ce 140.12 Ce.upf
Ni 58.69 Ni.upf
B 10.81 B.upf
Rh 102.91 Rh.upf
ATOMIC_POSITIONS angstrom
Ce 2.083 2.083 3.969
Ni 0.000 0.000 0.000
B 0.000 0.000 1.899
B 0.000 0.000 6.039
Rh 0.000 0.000 3.969
Rh 0.000 2.083 6.109
Rh 2.083 0.000 1.829
Rh 0.000 2.083 1.829
Rh 2.083 0.000 6.109
CELL_PARAMETERS angstrom
4.167 0.000 0.000
0.000 4.167 0.000
0.000 0.000 7.938
```

**Total magnetic moment**: 1.05 Bohr magnetons per cell
**Energy of formation from the pure elements**: -0.25 eV/atom
**VASP energy**: -64.06 eV for the cell shown



Record 3
CeNiBRu2: optimized geometry, PBE. Values from VASP.

Quantum ESPRESSO input file:
```
&SYSTEM
  ibrav = 0, nat = 5, ntyp = 4
/
ATOMIC_SPECIES
Ce 140.12 Ce.upf
Ni 58.69 Ni.upf
B 10.81 B.upf
Ru 101.07 Ru.upf
ATOMIC_POSITIONS angstrom
Ce 1.993 2.122 2.122
Ni 1.993 0.000 0.000
B 0.000 0.000 0.000
Ru 0.000 0.000 2.122
Ru 0.000 2.122 0.000
CELL_PARAMETERS angstrom
3.986 0.000 0.000
0.000 4.243 0.000
0.000 0.000 4.243
```

**Total magnetic moment**: 0.55 Bohr magnetons per cell
**Energy of formation from the pure elements**: -0.43 eV/atom
**VASP energy**: -39.10 eV for the cell shown



Record 4
Ce2NiB2Ru5: optimized geometry, PBE. Values from VASP.

Quantum ESPRESSO input file:
```
&SYSTEM
  ibrav = 0, nat = 20, ntyp = 4
/
ATOMIC_SPECIES
Ce 140.12 Ce.upf
Ni 58.69 Ni.upf
B 10.81 B.upf
Ru 101.07 Ru.upf
ATOMIC_POSITIONS angstrom
Ce 2.142 -5.682 -2.828
Ce -3.560 -7.614 0.817
Ce -1.150 -3.325 0.066
Ce -0.268 -9.971 -2.078
Ni 0.000 0.000 0.000
Ni -0.709 -6.648 -1.006
B -3.277 -4.959 1.219
B 1.859 -8.337 -3.230
B -2.464 -9.975 -0.506
B 1.046 -3.322 -1.505
Ru -0.295 -1.629 -2.111
Ru -2.909 -11.100 -2.394
Ru -5.414 -5.401 0.697
Ru -0.123 -7.332 -3.533
Ru 2.209 -7.328 -5.202
Ru -3.082 -5.397 -0.973
Ru -2.609 -8.280 -1.968
Ru -0.596 -4.449 -2.537
Ru 1.501 -3.036 -3.718
Ru -3.997 -3.045 0.218
CELL_PARAMETERS angstrom
-1.787 0.568 -2.494
4.788 -6.639 -4.942
-6.206 -6.657 2.930
```

**Total magnetic moment**: 0.00 Bohr magnetons per cell
**Energy of formation from the pure elements**: -0.35 eV/atom
**VASP energy**: -161.85 eV for the cell shown



Record 5
CeSiNi6B: optimized geometry, PBE. Values from VASP.

Quantum ESPRESSO input file:
```
&SYSTEM
  ibrav = 0, nat = 18, ntyp = 4
/
ATOMIC_SPECIES
Ce 140.12 Ce.upf
Si 28.09 Si.upf
Ni 58.69 Ni.upf
B 10.81 B.upf
ATOMIC_POSITIONS angstrom
Ce 3.001 1.949 3.262
Ce 0.000 1.949 1.832
Si 1.501 -1.949 2.547
Si -1.501 -1.949 2.547
Ni 0.000 1.949 4.732
Ni 3.001 -1.949 4.253
Ni 4.440 -0.082 1.258
Ni 1.562 3.981 1.258
Ni 1.562 -0.082 1.258
Ni 4.440 3.981 1.258
Ni 3.001 1.949 0.362
Ni 0.000 5.848 0.841
Ni -1.439 3.981 3.837
Ni 1.439 -0.082 3.837
Ni 1.439 3.981 3.837
Ni -1.439 -0.082 3.837
B 3.001 3.898 0.000
B 3.001 0.000 0.000
CELL_PARAMETERS angstrom
6.002 0.000 0.000
0.000 7.797 0.000
-3.001 -3.898 5.094
```

**Total magnetic moment**: 0.00 Bohr magnetons per cell
**VASP energy**: -108.45 eV for the cell shown
**E_form (uncorrected)**: -167 meV per atom



Record 6
Ce2SiNi12B3: optimized geometry, PBE. Values from VASP.

Quantum ESPRESSO input file:
```
&SYSTEM
  ibrav = 0, nat = 18, ntyp = 4
/
ATOMIC_SPECIES
Ce 140.12 Ce.upf
Si 28.09 Si.upf
Ni 58.69 Ni.upf
B 10.81 B.upf
ATOMIC_POSITIONS angstrom
Ce 7.379 4.295 3.046
Ce 4.751 2.766 1.962
Si 0.000 0.000 0.000
Ni 5.128 2.985 4.845
Ni 9.164 5.334 1.603
Ni 7.374 6.350 4.504
Ni 7.366 1.714 1.215
Ni 9.164 3.276 4.504
Ni 5.128 5.559 1.215
Ni 7.003 4.076 0.164
Ni 2.966 1.727 3.405
Ni 4.756 0.710 0.504
Ni 4.764 5.347 3.793
Ni 2.966 3.785 0.504
Ni 7.003 1.502 3.793
B 3.256 -0.234 -0.166
B 1.405 2.947 -0.166
B 1.405 0.818 2.836
CELL_PARAMETERS angstrom
6.512 -0.468 -0.332
2.809 5.893 -0.332
2.809 1.635 5.671
```

**Total magnetic moment**: 0.00 Bohr magnetons per cell
**VASP energy**: -109.83 eV for the cell shown
**E_form (uncorrected)**: -174 meV per atom